# 1
A plane-wave DFT calculation with GGA-PBE was carried out for AcTb8Nd3 after structural relaxation.

```
12
Lattice="-7.370 3.200 3.738 -3.686 -7.288 -3.439 7.672 -3.548 2.660" Properties=species:S:1:pos:R:3 pbc="T T T"
Ac 0.000 0.000 0.000
Tb -2.794 -1.145 1.653
Tb -0.590 -6.489 1.307
Tb -8.113 -3.115 1.797
Tb 4.730 -4.524 1.163
Tb -0.957 -3.446 -0.143
Tb -4.410 1.202 3.490
Tb -2.426 -4.190 3.102
Tb 1.026 -8.839 -0.530
Nd -4.559 -4.678 -0.039
Nd 1.175 -2.958 2.999
Nd 1.993 -5.418 -0.389
```

Summary:
**ΔE_f**: 299 meV per atom
**Density of states at the Fermi level**: 1.355 states/eV per atom



# 2
A plane-wave DFT calculation with GGA-PBE was carried out for Tl2ZnRu2 after structural relaxation.

```
10
Lattice="-3.635 -4.762 2.787 5.020 -1.469 4.038 -1.483 2.810 2.866" Properties=species:S:1:pos:R:3 pbc="T T T"
Ru 3.015 -3.007 4.508
Ru 0.046 -5.050 4.975
Ru -1.630 -3.224 2.317
Ru 1.339 -1.180 1.850
Tl 2.006 -0.401 4.625
Tl 0.972 -3.011 6.649
Tl -2.105 -3.020 5.065
Tl -1.070 -0.410 3.042
Zn 0.000 0.000 0.000
Zn 0.692 -3.115 3.412
```

Summary:
**ΔE_f**: 319 meV per atom
**Density of states at the Fermi level**: 0.613 states/eV per atom



# 3
A plane-wave DFT calculation with GGA-PBE was carried out for Zn3Fe after structural relaxation.

```
4
Lattice="2.641 0.000 0.000 0.000 2.641 0.000 0.000 0.000 7.866" Properties=species:S:1:pos:R:3 pbc="T T T"
Zn 0.000 0.000 3.933
Zn 1.321 1.321 1.852
Zn 1.321 1.321 6.013
Fe 0.000 0.000 0.000
```

Summary:
**ΔE_f**: 15 meV per atom
**Density of states at the Fermi level**: 0.247 states/eV per atom



# 4
A plane-wave DFT calculation with GGA-PBE was carried out for AcIF2 after structural relaxation.

```
4
Lattice="4.327 0.000 0.000 2.163 3.747 0.000 2.163 1.249 5.785" Properties=species:S:1:pos:R:3 pbc="T T T"
I 4.327 2.498 2.892
Ac 0.000 0.000 0.000
F 2.163 1.249 0.477
F 6.490 3.747 5.308
```

Summary:
**Density of states at the Fermi level**: 0.000 states/eV per atom
**Raw formation energy**: -3.30 eV/atom



# 5
A plane-wave DFT calculation with GGA-PBE was carried out for Rb5Tl2Hg5 after structural relaxation.

```
12
Lattice="5.083 0.000 1.147 2.496 9.289 0.772 0.154 -0.337 11.154" Properties=species:S:1:pos:R:3 pbc="T T T"
Rb 1.325 4.476 5.963
Rb 5.405 6.167 11.554
Rb 4.260 8.748 4.793
Rb 3.473 0.204 8.281
Rb 2.328 2.786 1.520
Tl 3.270 3.795 9.180
Tl 4.463 5.157 3.893
Hg 4.205 2.220 5.039
Hg 5.624 2.357 10.583
Hg 2.109 6.595 2.490
Hg 3.529 6.732 8.035
Hg 0.000 0.000 0.000
```

Summary:
**ΔE_f**: -152 meV per atom
**Density of states at the Fermi level**: 0.678 states/eV per atom



# 6
A plane-wave DFT calculation with GGA-PBE was carried out for Pm4Zn2Cd5 after structural relaxation.

```
11
Lattice="-2.719 -1.555 1.983 -0.191 -5.963 -4.938 6.749 -4.184 5.971" Properties=species:S:1:pos:R:3 pbc="T T T"
Pm 2.268 -7.555 0.651
Pm 4.473 -5.420 5.348
Pm 1.571 -4.147 2.366
Pm -0.634 -6.282 -2.331
Zn 4.237 -2.987 3.467
Zn 2.321 -7.160 -2.433
Cd 1.947 -4.620 -0.953
Cd 1.032 -1.784 0.016
Cd -0.095 -2.982 -2.469
Cd 5.526 -8.363 1.018
Cd 4.611 -5.527 1.987
```

Summary:
**ΔE_f**: -275 meV per atom
**Density of states at the Fermi level**: 1.013 states/eV per atom



# 7
A plane-wave DFT calculation with GGA-PBE was carried out for Sm12IrPb6 after structural relaxation.

```
19
Lattice="8.847 -0.045 -0.054 -1.386 8.738 -0.054 -1.386 -1.615 8.588" Properties=species:S:1:pos:R:3 pbc="T T T"
Sm 5.680 4.291 3.740
Sm 2.019 6.056 4.890
Sm 3.380 2.561 6.832
Sm 0.395 2.787 4.739
Sm 4.057 1.022 3.589
Sm 2.695 4.517 1.647
Sm -1.318 8.155 2.651
Sm -2.185 4.458 8.071
Sm 4.738 8.207 -0.018
Sm 7.393 -1.077 5.829
Sm 8.261 2.620 0.408
Sm 1.337 -1.129 8.498
Ir 0.000 0.000 0.000
Pb 4.348 7.084 2.945
Pb 5.122 2.533 0.983
Pb -0.268 5.141 2.667
Pb 1.727 -0.006 5.535
Pb 0.953 4.545 7.496
Pb 6.343 1.937 5.812
```

Summary:
**ΔE_f**: -321 meV per atom
**Density of states at the Fermi level**: 1.126 states/eV per atom



# 8
A plane-wave DFT calculation with GGA-PBE was carried out for RbZrAg2Te4 after structural relaxation.

```
8
Lattice="-0.758 -4.554 5.355 0.429 -7.120 -1.327 5.919 -2.595 3.298" Properties=species:S:1:pos:R:3 pbc="T T T"
Rb 0.000 0.000 0.000
Zr 2.795 -7.134 3.663
Ag 2.073 -4.057 1.510
Ag 3.518 -10.211 5.815
Te 2.855 -4.396 4.105
Te 3.043 -8.024 1.047
Te 0.296 -8.101 4.381
Te 4.987 -8.016 5.117
```

Summary:
**Density of states at the Fermi level**: 0.568 states/eV per atom
**Raw formation energy**: -0.43 eV/atom



# 9
A plane-wave DFT calculation with GGA-PBE was carried out for BaNaCeNbO6 after structural relaxation.

```
10
Lattice="1.679 -1.042 5.694 -3.307 2.148 4.558 -3.199 -3.774 3.443" Properties=species:S:1:pos:R:3 pbc="T T T"
Ba -3.620 -2.001 10.271
Na -1.207 -0.667 3.424
Ce 0.000 0.000 0.000
Nb -2.413 -1.334 6.847
O -2.837 0.317 5.762
O -1.990 -2.985 7.933
O -4.354 -1.472 7.394
O -0.473 -1.196 6.301
O -2.786 -2.491 5.233
O -2.041 -0.177 8.462
```

Summary:
**Density of states at the Fermi level**: 0.000 states/eV per atom
**Raw formation energy**: -2.77 eV/atom



# 10
A plane-wave DFT calculation with GGA-PBE was carried out for KIrOs2 after structural relaxation.

```
4
Lattice="5.294 0.029 0.000 -2.307 4.765 0.000 0.000 0.000 2.631" Properties=species:S:1:pos:R:3 pbc="T T T"
Ir 2.647 0.014 1.315
K -1.153 2.383 1.315
Os 0.000 0.000 0.000
Os 1.494 2.397 0.000
```

Summary:
**ΔE_f**: 1427 meV per atom
**Density of states at the Fermi level**: 1.820 states/eV per atom



# 11
A plane-wave DFT calculation with GGA-PBE was carried out for Mg12CdPb2 after structural relaxation.

```
30
Lattice="5.959 0.000 0.000 0.000 5.959 0.000 0.000 0.000 21.786" Properties=species:S:1:pos:R:3 pbc="T T T"
Mg 2.980 2.980 17.434
Mg 0.000 0.000 17.434
Mg 4.514 4.425 19.704
Mg 1.534 4.514 19.704
Mg 0.000 0.000 7.288
Mg 1.445 4.425 2.082
Mg 4.928 1.948 12.272
Mg 2.980 2.980 7.288
Mg 1.445 1.534 19.704
Mg 4.425 4.514 2.082
Mg 1.948 1.032 12.272
Mg 4.011 1.032 9.515
Mg 0.000 0.000 14.499
Mg 1.032 1.948 9.515
Mg 1.534 1.445 2.082
Mg 4.928 4.011 9.515
Mg 4.011 4.928 12.272
Mg 0.000 0.000 4.353
Mg 1.032 4.011 12.272
Mg 2.980 2.980 14.499
Mg 4.425 1.445 19.704
Mg 2.980 2.980 4.353
Mg 1.948 4.928 9.515
Mg 4.514 1.534 2.082
Cd 2.980 0.000 0.000
Cd 0.000 2.980 0.000
Pb 2.980 0.000 5.750
Pb 0.000 2.980 5.750
Pb 0.000 2.980 16.036
Pb 2.980 0.000 16.036
```

Summary:
**ΔE_f**: 117 meV per atom
**Density of states at the Fermi level**: 0.333 states/eV per atom



# 12
A plane-wave DFT calculation with GGA-PBE was carried out for LuSc2Tl after structural relaxation.

```
4
Lattice="3.372 0.000 0.000 1.686 2.920 0.000 1.686 0.973 10.470" Properties=species:S:1:pos:R:3 pbc="T T T"
Sc 1.686 0.973 2.521
Sc 5.058 2.920 7.948
Tl 0.000 0.000 0.000
Lu 3.372 1.947 5.235
```

Summary:
**ΔE_f**: -69 meV per atom
**Density of states at the Fermi level**: 1.263 states/eV per atom



# 13
A plane-wave DFT calculation with GGA-PBE was carried out for NiHgTe2 after structural relaxation.

```
4
Lattice="-4.978 -0.691 8.627 -7.579 -3.148 5.686 7.455 -0.007 -6.641" Properties=species:S:1:pos:R:3 pbc="T T T"
Hg -7.070 -2.162 8.059
Ni -2.527 -1.501 5.286
Te -11.359 -3.473 12.948
Te -2.979 -2.470 2.848
```

Summary:
**Density of states at the Fermi level**: 0.668 states/eV per atom
**Raw formation energy**: 0.02 eV/atom



# 14
A plane-wave DFT calculation with GGA-PBE was carried out for Tm3Pb after structural relaxation.

```
4
Lattice="5.418 0.000 0.000 2.709 4.692 0.000 2.709 1.564 4.424" Properties=species:S:1:pos:R:3 pbc="T T T"
Pb 5.418 3.128 2.212
Tm 0.000 0.000 0.000
Tm 8.127 4.692 3.318
Tm 2.709 1.564 1.106
```

Summary:
**ΔE_f**: -60 meV per atom
**Density of states at the Fermi level**: 1.502 states/eV per atom



# 15
A plane-wave DFT calculation with GGA-PBE was carried out for Al4Co5Tc after structural relaxation.

```
10
Lattice="-1.614 -2.048 -0.986 1.539 -1.875 1.375 -9.091 1.368 12.045" Properties=species:S:1:pos:R:3 pbc="T T T"
Al -1.905 0.287 2.524
Al -3.666 0.551 4.857
Al -5.425 0.816 7.188
Al -7.186 1.081 9.521
Co -1.051 -1.809 1.537
Co -2.831 -1.541 3.896
Co -4.583 -1.278 6.217
Co -6.335 -1.014 8.538
Co -8.115 -0.746 10.897
Tc 0.000 0.000 0.000
```

Summary:
**ΔE_f**: -449 meV per atom
**Density of states at the Fermi level**: 0.575 states/eV per atom



# 16
A plane-wave DFT calculation with GGA-PBE was carried out for Sr5Si2Hg after structural relaxation.

```
16
Lattice="7.397 0.000 -3.492 -1.648 7.211 -3.492 0.223 0.279 10.053" Properties=species:S:1:pos:R:3 pbc="T T T"
Sr 3.016 5.163 3.023
Sr 4.485 7.006 -3.445
Sr 0.000 0.000 0.000
Sr 2.874 3.605 -3.492
Sr 1.486 0.485 6.515
Sr 4.940 1.557 4.249
Sr -0.438 4.090 5.288
Sr 1.032 5.933 -1.180
Sr 6.409 3.400 -2.219
Sr 2.956 2.328 0.046
Si 0.142 2.835 -1.746
Si 4.313 0.771 -2.492
Si 1.436 6.440 -4.491
Si 5.606 4.376 -5.238
Hg 4.423 5.548 -0.211
Hg 1.549 1.942 3.280
```

Summary:
**Density of states at the Fermi level**: 0.836 states/eV per atom
**Raw formation energy**: -0.41 eV/atom



# 17
A plane-wave DFT calculation with GGA-PBE was carried out for NaAl2Si after structural relaxation.

```
8
Lattice="7.967 0.000 0.000 0.000 7.967 0.000 3.984 3.984 2.730" Properties=species:S:1:pos:R:3 pbc="T T T"
Na 3.984 3.984 0.000
Na 3.984 7.967 1.365
Si 0.000 0.000 0.000
Si 7.967 3.984 1.365
Al 6.556 1.992 0.683
Al 1.411 5.976 0.683
Al 5.976 5.395 2.048
Al 9.959 10.540 2.048
```

Summary:
**Density of states at the Fermi level**: 0.542 states/eV per atom
**Raw formation energy**: 0.24 eV/atom



# 18
A plane-wave DFT calculation with GGA-PBE was carried out for Tb4CuSe3 after structural relaxation.

```
8
Lattice="-1.871 -1.893 -2.984 -0.202 -5.980 3.920 -5.924 3.787 1.313" Properties=species:S:1:pos:R:3 pbc="T T T"
Tb -1.461 -0.523 1.248
Tb -2.545 -4.525 1.787
Tb -4.665 -1.670 3.984
Tb -5.453 0.439 0.462
Se -2.962 1.893 0.656
Se -3.999 -2.043 1.124
Se -0.101 -2.990 1.960
Cu -0.936 -0.947 -1.492
```

Summary:
**Density of states at the Fermi level**: 0.661 states/eV per atom
**Raw formation energy**: -1.39 eV/atom



# 19
A plane-wave DFT calculation with GGA-PBE was carried out for LaNbOs3 after structural relaxation.

```
5
Lattice="4.822 0.000 0.000 0.000 4.822 0.000 0.000 0.000 4.822" Properties=species:S:1:pos:R:3 pbc="T T T"
Nb 0.000 0.000 0.000
Os 0.000 2.411 0.000
Os 0.000 0.000 2.411
Os 2.411 0.000 0.000
La 2.411 2.411 2.411
```

Summary:
**ΔE_f**: 1132 meV per atom
**Density of states at the Fermi level**: 0.779 states/eV per atom



# 20
A plane-wave DFT calculation with GGA-PBE was carried out for Ho4MgSc7 after structural relaxation.

```
12
Lattice="-3.434 1.400 -3.767 -10.255 -0.050 5.621 0.219 6.039 -1.665" Properties=species:S:1:pos:R:3 pbc="T T T"
Ho -4.662 3.322 -1.934
Ho -8.809 4.066 2.123
Ho -9.373 6.878 -0.026
Ho -4.097 0.510 0.216
Mg 0.000 0.000 0.000
Sc -12.029 3.625 1.186
Sc -1.442 3.763 -0.996
Sc -6.159 2.237 2.738
Sc -7.311 5.151 -2.548
Sc -6.373 5.269 0.350
Sc -1.717 0.700 -1.884
Sc -7.098 2.119 -0.160
```

Summary:
**ΔE_f**: 223 meV per atom
**Density of states at the Fermi level**: 1.662 states/eV per atom